(1)
Al2PtF2: optimized geometry, PBE.

Space-group type ... No. 127
E above lowest polymorph ... 0.000 eV/atom
ΔE_f (raw) ... -1.530 eV/atom
Density of states at the Fermi level ... 0.22 states/eV per atom

Unit cell a=7.2225 b=7.2225 c=2.7316 alpha=90.00 beta=90.00 gamma=90.00
Fractional coordinates of all 10 atoms:
Al 0.7709 0.7291 0.5000
F 0.6090 0.1090 0.0000
Pt 0.5000 0.5000 0.0000
Al 0.2291 0.2709 0.5000
F 0.1090 0.3910 0.0000
F 0.8910 0.6090 0.0000
Al 0.7291 0.2291 0.5000
Pt 0.0000 0.0000 0.0000
F 0.3910 0.8910 0.0000
Al 0.2709 0.7709 0.5000


(2)
Rb2AlPtF6: optimized geometry, PBE.

Space-group type ... No. 139
ΔE_f (raw) ... -2.472 eV/atom
Density of states at the Fermi level ... 0.00 states/eV per atom

Unit cell a=6.5351 b=6.5351 c=6.0934 alpha=57.57 beta=57.57 gamma=90.00
Fractional coordinates of all 10 atoms:
F 0.6955 0.6955 0.0000
Rb 0.2500 0.7500 0.5000
F 0.7401 0.7401 0.5198
F 0.3045 0.3045 0.0000
F 0.6955 0.3045 0.0000
F 0.2599 0.2599 0.4802
F 0.3045 0.6955 0.0000
Al 0.5000 0.5000 0.0000
Pt 0.0000 0.0000 0.0000
Rb 0.7500 0.2500 0.5000


(3)
Al2RePtF: optimized geometry, PBE.

Space-group type ... No. 123
ΔE_f (raw) ... 0.402 eV/atom
Density of states at the Fermi level ... 0.32 states/eV per atom

Unit cell a=4.7118 b=5.2323 c=4.7118 alpha=90.00 beta=90.00 gamma=90.00
Fractional coordinates of all 5 atoms:
Pt 0.0000 0.0000 0.0000
Al 0.5000 0.0000 0.0000
Al 0.0000 0.0000 0.5000
Re 0.0000 0.5000 0.0000
F 0.5000 0.5000 0.5000


(4)
AlRuPt2F: optimized geometry, PBE.

Space-group type ... No. 123
ΔE_f (raw) ... -0.161 eV/atom
Density of states at the Fermi level ... 0.78 states/eV per atom

Unit cell a=4.8288 b=3.4078 c=4.8288 alpha=90.00 beta=90.00 gamma=90.00
Fractional coordinates of all 5 atoms:
F 0.0000 0.5000 0.0000
Al 0.0000 0.0000 0.0000
Pt 0.5000 0.0000 0.0000
Pt 0.0000 0.0000 0.5000
Ru 0.5000 0.5000 0.5000


> The lowest ΔE_f (raw) belongs to which entry?

Rb2AlPtF6


Copy entry 2 word for word.
Rb2AlPtF6: optimized geometry, PBE.

Space-group type ... No. 139
ΔE_f (raw) ... -2.472 eV/atom
Density of states at the Fermi level ... 0.00 states/eV per atom

Unit cell a=6.5351 b=6.5351 c=6.0934 alpha=57.57 beta=57.57 gamma=90.00
Fractional coordinates of all 10 atoms:
F 0.6955 0.6955 0.0000
Rb 0.2500 0.7500 0.5000
F 0.7401 0.7401 0.5198
F 0.3045 0.3045 0.0000
F 0.6955 0.3045 0.0000
F 0.2599 0.2599 0.4802
F 0.3045 0.6955 0.0000
Al 0.5000 0.5000 0.0000
Pt 0.0000 0.0000 0.0000
Rb 0.7500 0.2500 0.5000